1.
DFT (PBE) results for an optimized crystal structure of Er2Sn4Hg.

Cell: 4.5769 6.4298 6.4298 Å, 91.51 90.00 90.00°
Fractional positions:
Er1 0.0000 0.7432 0.2568
Er2 0.0000 0.2568 0.7432
Sn1 0.0000 0.7679 0.7679
Sn2 0.0000 0.2321 0.2321
Sn3 0.5000 0.0000 0.5000
Sn4 0.5000 0.5000 0.0000
Hg1 0.5000 0.5000 0.5000

SG: Cmmm
E_tot (eV for the cell shown): -28.175
Size of the total moment (μB per atom): 0.0000
V (A^3/atom): 27.0
Relative energy among the computed polymorphs (meV per atom): 0

=====

2.
DFT (PBE) results for an optimized crystal structure of Er12Sn5Hg3.

Cell: 15.2828 15.2828 15.2828 Å, 109.47 109.47 109.47°
Fractional positions:
Hg1 0.7500 0.3750 0.1250
Hg2 0.8750 0.7500 0.1250
Hg3 0.3750 0.7500 0.6250
Hg4 0.2500 0.1250 0.3750
Hg5 0.8750 0.1250 0.2500
Hg6 0.3750 0.6250 0.2500
Hg7 0.6250 0.3750 0.7500
Hg8 0.1250 0.8750 0.7500
Hg9 0.7500 0.8750 0.6250
Hg10 0.6250 0.2500 0.3750
Hg11 0.1250 0.2500 0.8750
Hg12 0.2500 0.6250 0.8750
Sn1 0.1250 0.3750 0.2500
Sn2 0.0000 0.5000 0.0000
Sn3 0.0000 0.0000 0.0000
Sn4 0.3750 0.2500 0.1250
Sn5 0.5000 0.0000 0.5000
Sn6 0.5000 0.5000 0.0000
Sn7 0.1250 0.7500 0.3750
Sn8 0.7500 0.1250 0.8750
Sn9 0.7500 0.6250 0.3750
Sn10 0.3750 0.1250 0.7500
Sn11 0.6250 0.8750 0.2500
Sn12 0.5000 0.5000 0.5000
Sn13 0.5000 0.0000 0.0000
Sn14 0.0000 0.0000 0.5000
Sn15 0.2500 0.3750 0.6250
Sn16 0.2500 0.8750 0.1250
Sn17 0.0000 0.5000 0.5000
Sn18 0.8750 0.2500 0.6250
Sn19 0.6250 0.7500 0.8750
Sn20 0.8750 0.6250 0.7500
Er1 0.7256 0.1307 0.0581
Er2 0.3324 0.5581 0.4273
Er3 0.9419 0.3693 0.2744
Er4 0.5581 0.2256 0.1307
Er5 0.5949 0.7256 0.6676
Er6 0.9419 0.5727 0.1676
Er7 0.3324 0.7744 0.4051
Er8 0.0727 0.9051 0.1307
Er9 0.5727 0.9419 0.6676
Er10 0.7256 0.5949 0.1676
Er11 0.7744 0.4419 0.3693
Er12 0.8324 0.9273 0.0581
Er13 0.1307 0.7256 0.5581
Er14 0.3693 0.4273 0.0949
Er15 0.0949 0.9273 0.3693
Er16 0.4051 0.1307 0.5727
Er17 0.0949 0.1676 0.2256
Er18 0.4419 0.6676 0.0727
Er19 0.8324 0.9051 0.2744
Er20 0.1307 0.4051 0.0727
Er21 0.3693 0.9419 0.7744
Er22 0.5727 0.6307 0.4051
Er23 0.9273 0.8324 0.5581
Er24 0.7744 0.3324 0.9051
Er25 0.4273 0.3693 0.5949
Er26 0.0727 0.1676 0.4419
Er27 0.2256 0.6676 0.0949
Er28 0.1676 0.0949 0.7256
Er29 0.6307 0.0581 0.2256
Er30 0.8693 0.5949 0.9273
Er31 0.5581 0.3324 0.9273
Er32 0.5949 0.8693 0.4273
Er33 0.9051 0.8324 0.7744
Er34 0.9051 0.0727 0.6307
Er35 0.8693 0.2744 0.4419
Er36 0.1676 0.0727 0.9419
Er37 0.6307 0.5727 0.9051
Er38 0.4273 0.0581 0.3324
Er39 0.2744 0.4051 0.8324
Er40 0.2256 0.5581 0.6307
Er41 0.9273 0.0949 0.8693
Er42 0.6676 0.2256 0.5949
Er43 0.4419 0.7744 0.8693
Er44 0.0581 0.4273 0.8324
Er45 0.4051 0.2744 0.3324
Er46 0.0581 0.6307 0.7256
Er47 0.6676 0.4419 0.5727
Er48 0.2744 0.8693 0.9419

SG: Ia-3d
E_tot (eV for the cell shown): -302.562
Size of the total moment (μB per atom): 0.0000
V (A^3/atom): 34.3

=====

3.
DFT (PBE) results for an optimized crystal structure of Er3SnHg2.

Cell: 3.7043 5.2298 8.3180 Å, 108.32 90.00 90.00°
Fractional positions:
Er1 0.5000 0.5000 0.0000
Er2 0.5000 0.8332 0.6664
Er3 0.5000 0.1668 0.3336
Sn1 0.0000 0.0000 0.0000
Hg1 0.0000 0.3262 0.6524
Hg2 0.0000 0.6738 0.3476

SG: Cmmm
E_tot (eV for the cell shown): -21.442
Size of the total moment (μB per atom): 0.0000
V (A^3/atom): 25.5

=====

4.
DFT (PBE) results for an optimized crystal structure of Er2SnHg2.

Cell: 8.0514 8.0513 6.0991 Å, 43.07 43.07 32.00°
Fractional positions:
Er1 0.6953 0.6953 0.8204
Er2 0.3047 0.3047 0.1795
Sn1 0.0000 0.0000 0.0000
Hg1 0.3945 0.3945 0.5297
Hg2 0.6055 0.6055 0.4703

SG: C2/m
E_tot (eV for the cell shown): -15.746
Size of the total moment (μB per atom): 0.0000
V (A^3/atom): 27.2
Relative energy among the computed polymorphs (meV per atom): 29

=====

5.
DFT (PBE) results for an optimized crystal structure of Er3SnHg2.

Cell: 5.2327 5.2327 6.4480 Å, 90.00 90.00 120.00°
Fractional positions:
Er1 0.0000 0.0000 0.5000
Er2 0.6667 0.3333 0.8398
Er3 0.3333 0.6667 0.1602
Sn1 0.0000 0.0000 0.0000
Hg1 0.6667 0.3333 0.3605
Hg2 0.3333 0.6667 0.6395

SG: P-3m1
E_tot (eV for the cell shown): -21.449
Size of the total moment (μB per atom): 0.0000
V (A^3/atom): 25.5

=====

6.
DFT (PBE) results for an optimized crystal structure of ErSnHg2.

Cell: 3.8949 3.8949 6.5915 Å, 90.00 90.00 90.00°
Fractional positions:
Hg1 0.0000 0.0000 0.7520
Hg2 0.0000 0.0000 0.2480
Sn1 0.5000 0.5000 0.5000
Er1 0.5000 0.5000 0.0000

SG: P4/mmm
E_tot (eV for the cell shown): -10.209
Size of the total moment (μB per atom): 0.0000
V (A^3/atom): 25.0

=====

7.
DFT (PBE) results for an optimized crystal structure of Er8Sn2Hg.

Cell: 5.0178 6.7318 9.9522 Å, 103.54 104.60 90.00°
Fractional positions:
Er1 0.4068 0.5245 0.8136
Er2 0.6555 0.0012 0.3109
Er3 0.7840 0.6766 0.5680
Er4 0.9787 0.2296 0.9575
Er5 0.2160 0.3234 0.4320
Er6 0.3445 0.9988 0.6891
Er7 0.5932 0.4755 0.1864
Er8 0.0213 0.7704 0.0425
Sn1 0.8182 0.2407 0.6365
Sn2 0.1818 0.7593 0.3635
Hg1 0.5000 0.0000 0.0000

SG: C2/m
E_tot (eV for the cell shown): -48.347
Size of the total moment (μB per atom): 0.0000
V (A^3/atom): 28.7

=====

8.
DFT (PBE) results for an optimized crystal structure of SrErSnHg.

Cell: 5.4610 5.4610 5.4610 Å, 60.00 60.00 60.00°
Fractional positions:
Sr1 0.5000 0.5000 0.5000
Hg1 0.7500 0.7500 0.7500
Sn1 0.2500 0.2500 0.2500
Er1 0.0000 0.0000 0.0000

SG: F-43m
E_tot (eV for the cell shown): -12.572
Size of the total moment (μB per atom): 0.0000
V (A^3/atom): 28.8

=====

9.
DFT (PBE) results for an optimized crystal structure of TbErSnHg.

Cell: 5.2731 5.2731 5.2731 Å, 60.00 60.00 60.00°
Fractional positions:
Tb1 0.0000 0.0000 0.0000
Hg1 0.2500 0.2500 0.2500
Sn1 0.7500 0.7500 0.7500
Er1 0.5000 0.5000 0.5000

SG: F-43m
E_tot (eV for the cell shown): -15.709
Size of the total moment (μB per atom): 0.0000
V (A^3/atom): 25.9
Relative energy among the computed polymorphs (meV per atom): 0

=====

10.
DFT (PBE) results for an optimized crystal structure of TbErSnHg.

Cell: 3.7888 3.7888 7.2793 Å, 90.00 90.00 90.00°
Fractional positions:
Tb1 0.5000 0.5000 0.6044
Er1 0.5000 0.5000 0.1111
Sn1 0.0000 0.0000 0.8614
Hg1 0.0000 0.0000 0.3510

SG: P4mm
E_tot (eV for the cell shown): -15.697
Size of the total moment (μB per atom): 0.0000
V (A^3/atom): 26.1
Relative energy among the computed polymorphs (meV per atom): 3

=====

11.
DFT (PBE) results for an optimized crystal structure of ErSn2HgTe4.

Cell: 4.4098 7.7900 7.9401 Å, 70.07 90.00 90.00°
Fractional positions:
Er1 0.0000 0.5000 0.5000
Sn1 0.0000 0.0000 0.0000
Sn2 0.5000 0.0000 0.5000
Hg1 0.5000 0.5000 0.0000
Te1 0.0000 0.7420 0.7421
Te2 0.0000 0.2580 0.2579
Te3 0.5000 0.7454 0.2664
Te4 0.5000 0.2546 0.7336

SG: P2/m
E_tot (eV for the cell shown): -29.444
Size of the total moment (μB per atom): 0.0000
V (A^3/atom): 32.1
Formation energy (no corrections) (eV per atom): -0.5009

=====

12.
DFT (PBE) results for an optimized crystal structure of YErSnHg.

Cell: 5.2686 5.2686 5.2686 Å, 60.00 60.00 60.00°
Fractional positions:
Y1 0.0000 0.0000 0.0000
Hg1 0.7500 0.7500 0.7500
Sn1 0.2500 0.2500 0.2500
Er1 0.5000 0.5000 0.5000

SG: F-43m
E_tot (eV for the cell shown): -17.577
Size of the total moment (μB per atom): 0.0001
V (A^3/atom): 25.9
Relative energy among the computed polymorphs (meV per atom): 0

=====

13.
DFT (PBE) results for an optimized crystal structure of YErSnHg.

Cell: 3.7880 3.7880 7.2627 Å, 90.00 90.00 90.00°
Fractional positions:
Y1 0.5000 0.5000 0.6046
Er1 0.5000 0.5000 0.1109
Sn1 0.0000 0.0000 0.8603
Hg1 0.0000 0.0000 0.3522

SG: P4mm
E_tot (eV for the cell shown): -17.568
Size of the total moment (μB per atom): 0.0000
V (A^3/atom): 26.1
Relative energy among the computed polymorphs (meV per atom): 2

=====

14.
DFT (PBE) results for an optimized crystal structure of ErZnSnHg.

Cell: 5.0815 5.0815 5.0815 Å, 60.00 60.00 60.00°
Fractional positions:
Zn1 0.2500 0.2500 0.2500
Hg1 0.7500 0.7500 0.7500
Sn1 0.0000 0.0000 0.0000
Er1 0.5000 0.5000 0.5000

SG: F-43m
E_tot (eV for the cell shown): -10.882
Size of the total moment (μB per atom): 0.0000
V (A^3/atom): 23.2
Relative energy among the computed polymorphs (meV per atom): 181

=====

15.
DFT (PBE) results for an optimized crystal structure of ErZnSnHg.

Cell: 4.3586 4.6511 4.4143 Å, 90.00 90.00 90.00°
Fractional positions:
Er1 0.0000 0.0000 0.0000
Zn1 0.0000 0.5000 0.5000
Sn1 0.5000 0.0000 0.5000
Hg1 0.5000 0.5000 0.0000

SG: Pmmm
E_tot (eV for the cell shown): -11.605
Size of the total moment (μB per atom): 0.0000
V (A^3/atom): 22.4
Relative energy among the computed polymorphs (meV per atom): 0

=====

16.
DFT (PBE) results for an optimized crystal structure of SrEr2Hg.

Cell: 3.7517 3.7517 9.4345 Å, 90.00 90.00 90.00°
Fractional positions:
Sr1 0.5000 0.5000 0.5000
Hg1 0.5000 0.5000 0.0000
Er1 0.0000 0.0000 0.8160
Er2 0.0000 0.0000 0.1840

SG: P4/mmm
E_tot (eV for the cell shown): -11.505
Size of the total moment (μB per atom): 0.0000
V (A^3/atom): 33.2
Relative energy among the computed polymorphs (meV per atom): 0

=====

17.
DFT (PBE) results for an optimized crystal structure of SrErHg.

Cell: 3.8499 3.8499 7.2218 Å, 105.46 105.46 90.00°
Fractional positions:
Sr1 0.0181 0.0181 0.0361
Hg1 0.6871 0.6871 0.3741
Er1 0.2949 0.2949 0.5898

SG: I4mm
E_tot (eV for the cell shown): -7.339
Size of the total moment (μB per atom): 0.0000
V (A^3/atom): 33.0
Relative energy among the computed polymorphs (meV per atom): 0

=====

18.
DFT (PBE) results for an optimized crystal structure of SrEr2Hg.

Cell: 3.7018 3.7018 11.7517 Å, 80.94 80.94 60.00°
Fractional positions:
Sr1 0.0000 0.0000 0.0000
Hg1 0.5000 0.5000 0.5000
Er1 0.1020 0.1020 0.6940
Er2 0.8980 0.8980 0.3060

SG: R-3m
E_tot (eV for the cell shown): -10.760
Size of the total moment (μB per atom): 0.0003
V (A^3/atom): 34.3
Relative energy among the computed polymorphs (meV per atom): 186

=====

19.
DFT (PBE) results for an optimized crystal structure of SrErHg.

Cell: 4.2244 5.2336 5.2336 Å, 120.00 90.00 90.00°
Fractional positions:
Sr1 0.6673 0.6667 0.3333
Hg1 0.1651 0.0000 0.0000
Er1 0.1676 0.3333 0.6667

SG: P3m1
E_tot (eV for the cell shown): -6.993
Size of the total moment (μB per atom): 0.0000
V (A^3/atom): 33.4
Relative energy among the computed polymorphs (meV per atom): 115

=====

20.
DFT (PBE) results for an optimized crystal structure of SrEr2Hg6.

Cell: 3.7168 8.4019 8.8268 Å, 118.42 102.23 90.00°
Fractional positions:
Sr1 0.0000 0.0000 0.0000
Er1 0.8530 0.3549 0.7097
Er2 0.1470 0.6451 0.2903
Hg1 0.6749 0.3532 0.3512
Hg2 0.3251 0.6468 0.6488
Hg3 0.3251 0.0020 0.6488
Hg4 0.5000 0.6708 0.0000
Hg5 0.5000 0.3292 0.0000
Hg6 0.6749 0.9980 0.3512

SG: C2/m
E_tot (eV for the cell shown): -16.017
Size of the total moment (μB per atom): 0.0000
V (A^3/atom): 26.1